Entry 1:
Below is a relaxed VSI3 crystal, with properties calculated at the GGA-PBE level.

CIF file:
```
data_VSI3
_symmetry_space_group_name_H-M 'P 1'
_symmetry_Int_Tables_number 1
_symmetry_space_group_name_Hall 'P 1'
_cell_length_a 5.500
_cell_length_b 5.500
_cell_length_c 5.500
_cell_angle_alpha 90.00
_cell_angle_beta 90.00
_cell_angle_gamma 90.00
loop_
_atom_site_label
_atom_site_type_symbol
_atom_site_fract_x
_atom_site_fract_y
_atom_site_fract_z
I1 I 0.000 0.500 0.000
I2 I 0.000 0.000 0.500
I3 I 0.500 0.000 0.000
S1 S 0.500 0.500 0.500
V1 V 0.000 0.000 0.000
```

Output
Raw formation energy (kJ/mol of formula units): 203
Calculated total energy (eV/atom): -3.158

Entry 2:
Below is a relaxed TbPaZn crystal, with properties calculated at the GGA-PBE level.

CIF file:
```
data_TbPaZn
_symmetry_space_group_name_H-M 'P 1'
_symmetry_Int_Tables_number 1
_symmetry_space_group_name_Hall 'P 1'
_cell_length_a 3.193
_cell_length_b 5.093
_cell_length_c 5.093
_cell_angle_alpha 120.00
_cell_angle_beta 90.00
_cell_angle_gamma 90.00
loop_
_atom_site_label
_atom_site_type_symbol
_atom_site_fract_x
_atom_site_fract_y
_atom_site_fract_z
Zn1 Zn 0.362 0.333 0.667
Pa1 Pa 0.041 0.000 0.000
Tb1 Tb 0.597 0.667 0.333
```

Output
Calculated total energy (eV/atom): -4.908

Entry 3:
Below is a relaxed V2Cr3 crystal, with properties calculated at the GGA-PBE level.

CIF file:
```
data_V2Cr3
_symmetry_space_group_name_H-M 'P 1'
_symmetry_Int_Tables_number 1
_symmetry_space_group_name_Hall 'P 1'
_cell_length_a 2.896
_cell_length_b 2.896
_cell_length_c 7.558
_cell_angle_alpha 101.05
_cell_angle_beta 101.05
_cell_angle_gamma 90.00
loop_
_atom_site_label
_atom_site_type_symbol
_atom_site_fract_x
_atom_site_fract_y
_atom_site_fract_z
V1 V 0.400 0.400 0.801
V2 V 0.600 0.600 0.199
Cr1 Cr 0.000 0.000 0.000
Cr2 Cr 0.203 0.203 0.406
Cr3 Cr 0.797 0.797 0.594
```

Output
Calculated total energy (eV/atom): -9.514

Entry 4:
Below is a relaxed Tl4Pb5 crystal, with properties calculated at the GGA-PBE level.

CIF file:
```
data_Tl4Pb5
_symmetry_space_group_name_H-M 'P 1'
_symmetry_Int_Tables_number 1
_symmetry_space_group_name_Hall 'P 1'
_cell_length_a 3.912
_cell_length_b 8.722
_cell_length_c 8.722
_cell_angle_alpha 87.12
_cell_angle_beta 77.04
_cell_angle_gamma 77.04
loop_
_atom_site_label
_atom_site_type_symbol
_atom_site_fract_x
_atom_site_fract_y
_atom_site_fract_z
Tl1 Tl 0.332 0.668 0.668
Tl2 Tl 0.668 0.332 0.332
Tl3 Tl 0.000 0.332 0.668
Tl4 Tl 0.000 0.668 0.332
Pb1 Pb 0.000 0.000 0.000
Pb2 Pb 0.333 0.000 0.334
Pb3 Pb 0.667 0.000 0.666
Pb4 Pb 0.667 0.666 0.000
Pb5 Pb 0.333 0.334 0.000
```

Output
Calculated total energy (eV/atom): -3.088

What did the fourth record say?
Below is a relaxed Tl4Pb5 crystal, with properties calculated at the GGA-PBE level.

CIF file:
```
data_Tl4Pb5
_symmetry_space_group_name_H-M 'P 1'
_symmetry_Int_Tables_number 1
_symmetry_space_group_name_Hall 'P 1'
_cell_length_a 3.912
_cell_length_b 8.722
_cell_length_c 8.722
_cell_angle_alpha 87.12
_cell_angle_beta 77.04
_cell_angle_gamma 77.04
loop_
_atom_site_label
_atom_site_type_symbol
_atom_site_fract_x
_atom_site_fract_y
_atom_site_fract_z
Tl1 Tl 0.332 0.668 0.668
Tl2 Tl 0.668 0.332 0.332
Tl3 Tl 0.000 0.332 0.668
Tl4 Tl 0.000 0.668 0.332
Pb1 Pb 0.000 0.000 0.000
Pb2 Pb 0.333 0.000 0.334
Pb3 Pb 0.667 0.000 0.666
Pb4 Pb 0.667 0.666 0.000
Pb5 Pb 0.333 0.334 0.000
```

Output
Calculated total energy (eV/atom): -3.088